[1]
10
Lattice="3.615 -6.416 0.000 3.615 6.416 0.000 0.000 0.000 4.395" Properties=species:S:1:pos:R:3 comment="ScPd7Pt2 | Alexandria | GGA-PBE | relaxed" space_group="No. 65" total_magnetization_mub_per_atom=0.00 density_g_cm3=9.61 formation_energy_mev_per_atom=147 energy_ev_per_atom=-5.33 pbc="T T T"
Sc 0.000 0.000 0.000
Pd 1.317 1.394 2.198
Pd 3.615 3.835 0.000
Pd 1.317 -1.394 2.198
Pd 3.615 0.000 2.198
Pd 5.913 1.394 2.198
Pd 3.615 -3.835 0.000
Pd 5.913 -1.394 2.198
Pt 3.615 2.562 2.198
Pt 3.615 -2.562 2.198

[2]
5
Lattice="4.175 0.000 0.000 0.000 4.175 0.000 0.000 0.000 4.175" Properties=species:S:1:pos:R:3 comment="LiBePd3 | Alexandria | GGA-PBE | relaxed" space_group="No. 221" total_magnetization_mub_per_atom=0.00 polymorph_energy_ev_per_atom=0.848 density_g_cm3=7.65 formation_energy_mev_per_atom=401 energy_ev_per_atom=-3.84 pbc="T T T"
Li 0.000 0.000 0.000
Be 2.088 2.088 2.088
Pd 0.000 0.000 2.088
Pd 0.000 2.088 0.000
Pd 2.088 0.000 0.000

[3]
4
Lattice="4.487 0.000 0.000 0.000 4.607 0.000 0.000 0.000 4.821" Properties=species:S:1:pos:R:3 comment="LiSmTlSn | Alexandria | GGA-PBE | relaxed" space_group="No. 47" total_magnetization_mub_per_atom=0.00 polymorph_energy_ev_per_atom=0.000 density_g_cm3=8.00 formation_energy_mev_per_atom=-456 energy_ev_per_atom=-3.71 pbc="T T T"
Li 0.000 0.000 0.000
Sm 0.000 2.304 2.411
Tl 2.244 2.304 0.000
Sn 2.244 0.000 2.411

[4]
10
Lattice="2.760 1.593 5.004 -2.760 1.593 5.004 0.000 -3.187 5.004" Properties=species:S:1:pos:R:3 comment="CdB3Rh6 | Alexandria | GGA-PBE | relaxed" space_group="No. 146" total_magnetization_mub_per_atom=0.00 density_g_cm3=9.59 formation_energy_mev_per_atom=-175 energy_ev_per_atom=-6.68 pbc="T T T"
Cd 0.000 0.000 0.000
B 0.000 0.000 3.705
B 0.000 0.000 8.773
B 0.000 0.000 11.744
Rh -1.430 -0.690 5.196
Rh -0.842 -1.590 7.633
Rh 1.313 -0.894 5.196
Rh -0.956 1.524 7.633
Rh 0.117 1.584 5.196
Rh 1.798 0.066 7.633

[5]
28
Lattice="9.464 0.000 0.000 0.000 9.464 0.000 0.000 0.000 9.464" Properties=species:S:1:pos:R:3 comment="Sm3HoTl3 | Alexandria | GGA-PBE | relaxed" space_group="No. 198" total_magnetization_mub_per_atom=0.00 polymorph_energy_ev_per_atom=0.000 density_g_cm3=9.63 formation_energy_mev_per_atom=-266 energy_ev_per_atom=-3.96 pbc="T T T"
Sm 0.665 4.067 5.397
Sm 1.652 7.812 3.080
Sm 1.666 1.666 1.666
Sm 3.066 7.797 6.398
Sm 3.080 1.652 7.812
Sm 4.067 5.397 0.665
Sm 5.397 0.665 4.067
Sm 6.384 6.384 6.384
Sm 6.398 3.066 7.797
Sm 7.797 6.398 3.066
Sm 7.812 3.080 1.652
Sm 8.799 8.799 8.799
Ho 0.699 5.431 8.765
Ho 4.033 4.033 4.033
Ho 5.431 8.765 0.699
Ho 8.765 0.699 5.431
Tl 0.009 2.401 8.232
Tl 1.232 4.741 2.331
Tl 2.331 1.232 4.741
Tl 2.401 8.232 0.009
Tl 3.500 4.723 7.063
Tl 4.723 7.063 3.500
Tl 4.741 2.331 1.232
Tl 5.964 9.455 7.133
Tl 7.063 3.500 4.723
Tl 7.133 5.964 9.455
Tl 8.232 0.009 2.401
Tl 9.455 7.133 5.964

[6]
4
Lattice="1.370 0.791 8.112 -1.370 0.791 8.112 0.000 -1.582 8.112" Properties=species:S:1:pos:R:3 comment="MnCr2W | Alexandria | GGA-PBE | relaxed" space_group="No. 160" total_magnetization_mub_per_atom=0.47 polymorph_energy_ev_per_atom=0.298 density_g_cm3=10.79 formation_energy_mev_per_atom=378 energy_ev_per_atom=-9.96 pbc="T T T"
Mn 0.000 0.000 0.000
Cr 0.000 0.000 11.774
Cr 0.000 0.000 18.092
W 0.000 0.000 5.901

Number 6 is which compound? MnCr2W